# 1
The following is a PBE calculation of a geometry-optimized AcTi6O12 structure, from Alexandria via LeMat-Bulk.

Cell lengths 6.2726, 6.2726, 6.2726 Å; angles 107.09, 107.09, 107.09 degrees
With the nearest neighbours (Å) after each atom.
Element x y z (fractional)
Ti1 0.7571 0.7571 0.3755  5 O 1.98-2.08
Ti2 0.2429 0.2429 0.6245  5 O 1.98-2.08
Ti3 0.6245 0.2429 0.2429  5 O 1.98-2.08
Ti4 0.7571 0.3755 0.7571  5 O 1.98-2.08
Ti5 0.2429 0.6245 0.2429  5 O 1.98-2.08
Ti6 0.3755 0.7571 0.7571  5 O 1.98-2.08
O1 0.5000 0.1203 0.8797  2 Ti 1.99
O2 0.4370 0.4370 0.1738  3 Ti 1.98-2.08
O3 0.8262 0.5630 0.5630  3 Ti 1.98-2.08
O4 0.1203 0.5000 0.8797  2 Ti 1.99
O5 0.1738 0.4370 0.4370  3 Ti 1.98-2.08
O6 0.8797 0.1203 0.5000  2 Ti 1.99
O7 0.1203 0.8797 0.5000  2 Ti 1.99
O8 0.5000 0.8797 0.1203  2 Ti 1.99
O9 0.5630 0.5630 0.8262  3 Ti 1.98-2.08
O10 0.8797 0.5000 0.1203  2 Ti 1.99
O11 0.4370 0.1738 0.4370  3 Ti 1.98-2.08
O12 0.5630 0.8262 0.5630  3 Ti 1.98-2.08
Ac1 0.0000 0.0000 0.0000  6 O 2.88

Computed properties:
As for the density of states at the Fermi level: 7.473 states/eV/cell. For the magnetization, the calculation gives 2.047 μB per formula unit. The calculation puts the uncorrected formation energy at -2586 meV per atom. As for the space-group type: R-3m.

# 2
The following is a PBE calculation of a geometry-optimized Ac2Ti3O10 structure, from Alexandria via LeMat-Bulk.

Cell lengths 5.8363, 7.8249, 9.5052 Å; angles 110.44, 107.88, 90.00 degrees
With the nearest neighbours (Å) after each atom.
Element x y z (fractional)
O1 0.8564 0.0199 0.2207  2 Ti 1.90-1.95
O2 0.3891 0.4757 0.3059  1 Ti 1.91
O3 0.6357 0.9801 0.7793  2 Ti 1.90-1.95
O4 0.5199 0.1770 0.0398  2 Ti 1.90
O5 0.7564 0.7488 0.5128  1 Ti 1.93
O6 0.7758 0.5000 0.0000  2 Ti 2.06
O7 0.0262 0.1866 0.0525  3 Ti 1.89-2.04
O8 0.9738 0.8134 0.9475  3 Ti 1.89-2.04
O9 0.0000 0.0000 0.5000  2 Ti 2.03
O10 0.2436 0.2512 0.4872  1 Ti 1.93
O11 0.9167 0.4757 0.3059  1 Ti 1.91
O12 0.3643 0.0199 0.2207  2 Ti 1.90-1.95
O13 0.8617 0.2612 0.7235  1 Ti 1.89
O14 0.6109 0.5243 0.6941  1 Ti 1.91
O15 0.5000 0.0000 0.5000  2 Ti 2.03
O16 0.1383 0.7388 0.2765  1 Ti 1.89
O17 0.4801 0.8230 0.9602  2 Ti 1.90
O18 0.0833 0.5243 0.6941  1 Ti 1.91
O19 0.1436 0.9801 0.7793  2 Ti 1.90-1.95
O20 0.2242 0.5000 0.0000  2 Ti 2.06
Ti1 0.1718 0.9974 0.3435  6 O 1.89-2.03
Ti2 0.2612 0.0000 0.0000  6 O 1.90-2.04
Ti3 0.7388 0.0000 0.0000  6 O 1.90-2.04
Ti4 0.0761 0.4449 0.1522  5 O 1.89-2.06
Ti5 0.9239 0.5551 0.8478  5 O 1.89-2.06
Ti6 0.8282 0.0026 0.6565  6 O 1.89-2.03
Ac1 0.7114 0.3041 0.4229  6 O 2.52-2.79
Ac2 0.6074 0.7083 0.2147  8 O 2.59-2.81
Ac3 0.2886 0.6959 0.5771  6 O 2.52-2.79
Ac4 0.3926 0.2917 0.7853  8 O 2.59-2.81

Computed properties:
As for the density of states at the Fermi level: 16.413 states/eV/cell. For the magnetization, the calculation gives 2.088 μB per formula unit. The calculation puts the uncorrected formation energy at -2905 meV per atom. As for the space-group type: C2/m.

# 3
The following is a PBE calculation of a geometry-optimized AcTi2O5 structure, from Alexandria via LeMat-Bulk.

Cell lengths 3.2463, 6.1450, 6.1450 Å; angles 51.28, 74.68, 74.68 degrees
With the nearest neighbours (Å) after each atom.
Element x y z (fractional)
Ac1 0.0000 0.0000 0.0000  10 O 2.66
O1 0.3414 0.3988 0.9184  3 Ti 2.09-2.15
O2 0.6586 0.0816 0.6012  3 Ti 2.09-2.15
O3 0.6586 0.6012 0.0816  3 Ti 2.09-2.15
O4 0.0000 0.5000 0.5000  2 Ti 1.97
O5 0.3414 0.9184 0.3988  3 Ti 2.09-2.15
Ti1 0.8144 0.6856 0.6856  7 O 1.97-2.15
Ti2 0.1856 0.3144 0.3144  7 O 1.97-2.15

Computed properties:
As for the density of states at the Fermi level: 3.477 states/eV/cell. The calculation puts the energy above the most stable polymorph in this dataset at 225.8 meV per atom. For the magnetization, the calculation gives 0.839 μB per formula unit. The calculation puts the uncorrected formation energy at -2925 meV per atom. As for the space-group type: Immm.

# 4
The following is a PBE calculation of a geometry-optimized Ac2Ti3O9 structure, from Alexandria via LeMat-Bulk.

Cell lengths 7.1403, 7.1403, 10.8740 Å; angles 90.00, 90.00, 120.00 degrees
With the nearest neighbours (Å) after each atom.
Element x y z (fractional)
O1 0.0605 0.6257 0.6118  1 Ti 1.80
O2 0.9395 0.3743 0.3882  1 Ti 1.80
O3 0.0675 0.7930 0.2500  2 Ti 1.84-1.88
O4 0.2745 0.0675 0.7500  2 Ti 1.84-1.88
O5 0.7930 0.7255 0.7500  2 Ti 1.84-1.88
O6 0.5653 0.9395 0.6118  1 Ti 1.80
O7 0.2070 0.2745 0.2500  2 Ti 1.84-1.88
O8 0.6257 0.5653 0.3882  1 Ti 1.80
O9 0.9325 0.2070 0.7500  2 Ti 1.84-1.88
O10 0.5653 0.9395 0.8882  1 Ti 1.80
O11 0.9395 0.3743 0.1118  1 Ti 1.80
O12 0.6257 0.5653 0.1118  1 Ti 1.80
O13 0.4347 0.0605 0.1118  1 Ti 1.80
O14 0.3743 0.4347 0.6118  1 Ti 1.80
O15 0.4347 0.0605 0.3882  1 Ti 1.80
O16 0.0605 0.6257 0.8882  1 Ti 1.80
O17 0.3743 0.4347 0.8882  1 Ti 1.80
O18 0.7255 0.9325 0.2500  2 Ti 1.84-1.88
Ti1 0.2303 0.3002 0.7500  4 O 1.80-1.88
Ti2 0.6998 0.9302 0.7500  4 O 1.80-1.88
Ti3 0.3002 0.0698 0.2500  4 O 1.80-1.88
Ti4 0.9302 0.2303 0.2500  4 O 1.80-1.88
Ti5 0.7697 0.6998 0.2500  4 O 1.80-1.88
Ti6 0.0698 0.7697 0.7500  4 O 1.80-1.88
Ac1 0.3333 0.6667 0.0426  6 O 2.48-2.64
Ac2 0.3333 0.6667 0.4574  6 O 2.48-2.64
Ac3 0.6667 0.3333 0.5426  6 O 2.48-2.64
Ac4 0.6667 0.3333 0.9574  6 O 2.48-2.64

Computed properties:
As for the density of states at the Fermi level: 0.000 states/eV/cell. For the magnetization, the calculation gives 0.000 μB per formula unit. The calculation puts the uncorrected formation energy at -3207 meV per atom. As for the space-group type: P6_3/m.

# 5
The following is a PBE calculation of a geometry-optimized Ac5Ti2O12 structure, from Alexandria via LeMat-Bulk.

Cell lengths 6.2462, 7.3180, 8.0404 Å; angles 105.54, 90.00, 115.26 degrees
With the nearest neighbours (Å) after each atom.
Element x y z (fractional)
O1 0.5021 0.0043 0.8350  2 Ti 2.13
O2 0.4039 0.3113 0.5807  4 Ac 2.51-2.54
O3 0.1089 0.6930 0.9248  1 Ti 1.95
O4 0.5841 0.6930 0.9248  1 Ti 1.95
O5 0.9982 0.9964 0.8349  2 Ti 1.97
O6 0.0018 0.0036 0.1651  2 Ti 1.97
O7 0.5961 0.6887 0.4193  4 Ac 2.51-2.54
O8 0.9074 0.3113 0.5807  4 Ac 2.51-2.54
O9 0.0926 0.6887 0.4193  4 Ac 2.51-2.54
O10 0.4979 0.9957 0.1650  2 Ti 2.13
O11 0.4159 0.3070 0.0752  1 Ti 1.95
O12 0.8911 0.3070 0.0752  1 Ti 1.95
Ac1 0.6939 0.3877 0.8399  7 O 2.53-2.58
Ac2 0.6861 0.3721 0.3519  7 O 2.50-2.60
Ac3 0.3139 0.6279 0.6481  7 O 2.50-2.60
Ac4 0.0000 0.0000 0.5000  6 O 2.51-2.70
Ac5 0.3061 0.6123 0.1601  7 O 2.53-2.58
Ti1 0.2344 0.0000 0.0000  6 O 1.95-2.13
Ti2 0.7656 0.0000 0.0000  6 O 1.95-2.13

Computed properties:
As for the density of states at the Fermi level: 18.838 states/eV/cell. For the magnetization, the calculation gives 0.047 μB per formula unit. The calculation puts the uncorrected formation energy at -3211 meV per atom. As for the space-group type: C2/m.

# 6
The following is a PBE calculation of a geometry-optimized Ac2Ti2O7 structure, from Alexandria via LeMat-Bulk.

Cell lengths 5.2006, 6.3080, 6.3080 Å; angles 103.97, 96.93, 96.93 degrees
With the nearest neighbours (Å) after each atom.
Element x y z (fractional)
Ac1 0.5000 0.3010 0.6990  6 O 2.50-2.55
Ac2 0.5000 0.6990 0.3010  6 O 2.50-2.55
Ti1 0.9184 0.2234 0.2234  4 O 1.83-1.87
Ti2 0.0816 0.7766 0.7766  4 O 1.83-1.87
O1 0.2749 0.9077 0.6057  1 Ti 1.83
O2 0.7759 0.6139 0.6139  1 Ti 1.83
O3 0.7251 0.0923 0.3943  1 Ti 1.83
O4 0.2749 0.6057 0.9077  1 Ti 1.83
O5 0.2241 0.3861 0.3861  1 Ti 1.83
O6 0.7251 0.3943 0.0923  1 Ti 1.83
O7 0.0000 0.0000 0.0000  2 Ti 1.87

Computed properties:
As for the density of states at the Fermi level: 0.000 states/eV/cell. For the magnetization, the calculation gives 0.000 μB per formula unit. The calculation puts the uncorrected formation energy at -3290 meV per atom. As for the space-group type: C2/m.

# 7
The following is a PBE calculation of a geometry-optimized AcTiO3 structure, from Alexandria via LeMat-Bulk.

Cell lengths 4.0148, 4.0148, 4.0148 Å; angles 90.00, 90.00, 90.00 degrees
With the nearest neighbours (Å) after each atom.
Element x y z (fractional)
O1 0.0000 0.5000 0.5000  2 Ti 2.01
O2 0.5000 0.5000 0.0000  2 Ti 2.01
O3 0.5000 0.0000 0.5000  2 Ti 2.01
Ac1 0.0000 0.0000 0.0000  12 O 2.84
Ti1 0.5000 0.5000 0.5000  6 O 2.01

Computed properties:
As for the density of states at the Fermi level: 2.670 states/eV/cell. For the magnetization, the calculation gives 0.002 μB per formula unit. The calculation puts the uncorrected formation energy at -3189 meV per atom. As for the space-group type: Pm-3m.

# 8
The following is a PBE calculation of a geometry-optimized Ac3Ti2O8 structure, from Alexandria via LeMat-Bulk.

Cell lengths 5.8957, 5.8957, 7.5930 Å; angles 67.16, 67.16, 60.00 degrees
With the nearest neighbours (Å) after each atom.
Element x y z (fractional)
Ac1 0.2000 0.2000 0.4001  4 O 2.38-2.58
Ac2 0.0000 0.0000 0.0000  6 O 2.65
Ac3 0.8000 0.8000 0.5999  4 O 2.38-2.58
O1 0.6831 0.6831 0.9507  1 Ti 1.81
O2 0.3169 0.3169 0.0493  1 Ti 1.81
O3 0.7375 0.2191 0.3059  1 Ti 1.86
O4 0.2625 0.7809 0.6941  1 Ti 1.86
O5 0.7809 0.2625 0.6941  1 Ti 1.86
O6 0.7375 0.7375 0.3059  1 Ti 1.86
O7 0.2191 0.7375 0.3059  1 Ti 1.86
O8 0.2625 0.2625 0.6941  1 Ti 1.86
Ti1 0.5941 0.5941 0.2176  4 O 1.81-1.86
Ti2 0.4059 0.4059 0.7824  4 O 1.81-1.86

Computed properties:
As for the density of states at the Fermi level: 5.179 states/eV/cell. For the magnetization, the calculation gives 0.607 μB per formula unit. The calculation puts the uncorrected formation energy at -3147 meV per atom. As for the space-group type: R-3m.